The following is a PBE calculation of Sm5Ge2Se2 after structural relaxation, from Alexandria via LeMat-Bulk.

Computed properties:
* magnetization: 0.0 Bohr magnetons per cell
* DFT total energy: -5.632 eV/atom
* raw formation energy: -1210 meV per atom
* space-group type: No. 64

Cell: 8.417 8.417 7.892 Å, 90.00 90.00 55.23°
Positions (direct):
Sm 0.000 0.000 0.000
Sm 0.033 0.697 0.663
Sm 0.197 0.533 0.163
Sm 0.303 0.967 0.663
Sm 0.467 0.803 0.163
Sm 0.500 0.500 0.500
Sm 0.533 0.197 0.837
Sm 0.697 0.033 0.337
Sm 0.803 0.467 0.837
Sm 0.967 0.303 0.337
Ge 0.132 0.868 0.368
Ge 0.368 0.632 0.868
Ge 0.632 0.368 0.132
Ge 0.868 0.132 0.632
Se 0.199 0.199 0.000
Se 0.301 0.301 0.500
Se 0.699 0.699 0.500
Se 0.801 0.801 0.000

***

The following is a PBE calculation of Sm2GeSe after structural relaxation, from Alexandria via LeMat-Bulk.

Computed properties:
* magnetization: 0.0 Bohr magnetons per cell
* DFT total energy: -5.788 eV/atom
* raw formation energy: -1403 meV per atom
* space-group type: No. 59
* excess energy over the best structure of this formula in the dataset: 10 meV/atom

Cell: 4.211 5.952 8.504 Å, 90.00 90.00 90.00°
Positions (direct):
Sm 0.250 0.250 0.121
Sm 0.250 0.250 0.634
Sm 0.750 0.750 0.366
Sm 0.750 0.750 0.879
Ge 0.250 0.750 0.127
Ge 0.750 0.250 0.873
Se 0.250 0.750 0.621
Se 0.750 0.250 0.379

***

The following is a PBE calculation of Sm2GeSe4 after structural relaxation, from Alexandria via LeMat-Bulk.

Computed properties:
* magnetization: 0.0 Bohr magnetons per cell
* DFT total energy: -5.101 eV/atom
* raw formation energy: -1102 meV per atom
* space-group type: No. 121

Cell: 7.595 7.595 7.595 Å, 128.91 128.91 75.16°
Positions (direct):
Sm 0.250 0.750 0.500
Sm 0.750 0.250 0.500
Ge 0.000 0.000 0.000
Se 0.130 0.633 0.000
Se 0.367 0.367 0.497
Se 0.633 0.130 0.000
Se 0.870 0.870 0.503

***

The following is a PBE calculation of Sm8Ge5Se after structural relaxation, from Alexandria via LeMat-Bulk.

Computed properties:
* magnetization: 0.0 Bohr magnetons per cell
* DFT total energy: -5.541 eV/atom
* raw formation energy: -946 meV per atom
* space-group type: No. 82

Cell: 7.810 7.810 7.810 Å, 109.50 109.50 109.41°
Positions (direct):
Sm 0.002 0.120 0.747
Sm 0.241 0.490 0.614
Sm 0.373 0.256 0.253
Sm 0.374 0.759 0.249
Sm 0.510 0.124 0.751
Sm 0.744 0.998 0.118
Sm 0.876 0.626 0.386
Sm 0.880 0.627 0.882
Ge 0.000 0.377 0.125
Ge 0.125 0.000 0.377
Ge 0.252 0.875 0.875
Ge 0.623 0.748 0.623
Ge 0.750 0.250 0.500
Se 0.500 0.500 0.000

***

The following is a PBE calculation of Sm2GeSe after structural relaxation, from Alexandria via LeMat-Bulk.

Computed properties:
* magnetization: 0.0 Bohr magnetons per cell
* DFT total energy: -5.677 eV/atom
* raw formation energy: -1292 meV per atom
* space-group type: No. 160
* excess energy over the best structure of this formula in the dataset: 121 meV/atom

Cell: 7.648 7.648 7.648 Å, 31.63 31.63 31.63°
Positions (direct):
Sm 0.000 0.000 0.000
Sm 0.179 0.179 0.179
Ge 0.590 0.590 0.590
Se 0.421 0.421 0.421

***

The following is a PBE calculation of Sm6Ge3Se14 after structural relaxation, from Alexandria via LeMat-Bulk.

Computed properties:
* magnetization: 0.0 Bohr magnetons per cell
* DFT total energy: -5.277 eV/atom
* raw formation energy: -1322 meV per atom
* space-group type: No. 143

Cell: 10.592 10.592 6.077 Å, 90.00 90.00 120.00°
Positions (direct):
Sm 0.025 0.561 0.000
Sm 0.309 0.105 0.505
Sm 0.439 0.463 0.000
Sm 0.537 0.975 0.000
Sm 0.796 0.691 0.505
Sm 0.895 0.204 0.505
Ge 0.000 0.000 0.922
Ge 0.333 0.667 0.415
Ge 0.667 0.333 0.273
Se 0.000 0.000 0.309
Se 0.084 0.848 0.757
Se 0.152 0.236 0.757
Se 0.182 0.431 0.252
Se 0.249 0.818 0.252
Se 0.333 0.667 0.802
Se 0.409 0.172 0.031
Se 0.501 0.427 0.521
Se 0.569 0.751 0.252
Se 0.573 0.074 0.521
Se 0.763 0.591 0.031
Se 0.764 0.916 0.757
Se 0.828 0.237 0.031
Se 0.926 0.499 0.521

***

The following is a PBE calculation of Sm4GeSe2 after structural relaxation, from Alexandria via LeMat-Bulk.

Computed properties:
* magnetization: 0.0 Bohr magnetons per cell
* DFT total energy: -5.594 eV/atom
* raw formation energy: -1242 meV per atom
* space-group type: No. 55
* excess energy over the best structure of this formula in the dataset: 52 meV/atom

Cell: 7.430 12.233 4.314 Å, 90.00 90.00 90.00°
Positions (direct):
Sm 0.120 0.215 0.000
Sm 0.247 0.949 0.500
Sm 0.253 0.449 0.500
Sm 0.380 0.715 0.000
Sm 0.620 0.285 0.000
Sm 0.747 0.551 0.500
Sm 0.753 0.051 0.500
Sm 0.880 0.785 0.000
Ge 0.000 0.000 0.000
Ge 0.500 0.500 0.000
Se 0.103 0.686 0.500
Se 0.397 0.186 0.500
Se 0.603 0.814 0.500
Se 0.897 0.314 0.500

***

The following is a PBE calculation of Sm2GeSe after structural relaxation, from Alexandria via LeMat-Bulk.

Computed properties:
* magnetization: 0.0 Bohr magnetons per cell
* DFT total energy: -5.798 eV/atom
* raw formation energy: -1413 meV per atom
* space-group type: No. 15
* excess energy over the best structure of this formula in the dataset: 0 meV/atom

Cell: 9.409 9.409 7.308 Å, 104.93 104.93 126.59°
Positions (direct):
Sm 0.059 0.435 0.744
Sm 0.178 0.303 0.243
Sm 0.303 0.178 0.743
Sm 0.435 0.059 0.244
Sm 0.565 0.941 0.756
Sm 0.697 0.822 0.257
Sm 0.822 0.697 0.757
Sm 0.941 0.565 0.256
Ge 0.065 0.935 0.250
Ge 0.189 0.811 0.750
Ge 0.811 0.189 0.250
Ge 0.935 0.065 0.750
Se 0.314 0.686 0.250
Se 0.439 0.561 0.750
Se 0.561 0.439 0.250
Se 0.686 0.314 0.750

***

The following is a PBE calculation of Sm6GeSe5 after structural relaxation, from Alexandria via LeMat-Bulk.

Computed properties:
* magnetization: 0.0 Bohr magnetons per cell
* DFT total energy: -5.917 eV/atom
* raw formation energy: -1721 meV per atom
* space-group type: No. 12

Cell: 7.251 7.251 7.284 Å, 99.52 99.52 119.97°
Positions (direct):
Sm 0.081 0.406 0.244
Sm 0.244 0.244 0.757
Sm 0.406 0.081 0.244
Sm 0.594 0.919 0.756
Sm 0.756 0.756 0.243
Sm 0.919 0.594 0.756
Ge 0.000 0.000 0.000
Se 0.168 0.832 0.500
Se 0.333 0.667 0.000
Se 0.500 0.500 0.500
Se 0.667 0.333 0.000
Se 0.832 0.168 0.500

***

The following is a PBE calculation of Sm4GeSe2 after structural relaxation, from Alexandria via LeMat-Bulk.

Computed properties:
* magnetization: 0.0 Bohr magnetons per cell
* DFT total energy: -5.645 eV/atom
* raw formation energy: -1294 meV per atom
* space-group type: No. 63
* excess energy over the best structure of this formula in the dataset: 0 meV/atom

Cell: 7.032 7.032 13.925 Å, 90.00 90.00 145.82°
Positions (direct):
Sm 0.000 0.000 0.000
Sm 0.000 0.000 0.500
Sm 0.281 0.719 0.627
Sm 0.281 0.719 0.873
Sm 0.449 0.551 0.250
Sm 0.551 0.449 0.750
Sm 0.719 0.281 0.127
Sm 0.719 0.281 0.373
Ge 0.105 0.895 0.250
Ge 0.895 0.105 0.750
Se 0.360 0.640 0.063
Se 0.360 0.640 0.437
Se 0.640 0.360 0.563
Se 0.640 0.360 0.937

***

The following is a PBE calculation of SmGe2Se3 after structural relaxation, from Alexandria via LeMat-Bulk.

Computed properties:
* magnetization: 0.0 Bohr magnetons per cell
* DFT total energy: -4.826 eV/atom
* raw formation energy: -758 meV per atom
* space-group type: No. 11

Cell: 8.458 4.055 11.700 Å, 90.00 110.37 90.00°
Positions (direct):
Sm 0.204 0.250 0.189
Sm 0.796 0.750 0.811
Ge 0.256 0.750 0.470
Ge 0.473 0.750 0.055
Ge 0.527 0.250 0.945
Ge 0.744 0.250 0.530
Se 0.055 0.250 0.368
Se 0.166 0.750 0.994
Se 0.434 0.750 0.328
Se 0.566 0.250 0.672
Se 0.834 0.250 0.006
Se 0.945 0.750 0.632

***

The following is a PBE calculation of SmGeSe4 after structural relaxation, from Alexandria via LeMat-Bulk.

Computed properties:
* magnetization: 0.0 Bohr magnetons per cell
* DFT total energy: -4.636 eV/atom
* raw formation energy: -756 meV per atom
* space-group type: No. 11

Cell: 5.933 9.473 6.729 Å, 90.00 108.09 90.00°
Positions (direct):
Sm 0.116 0.250 0.155
Sm 0.884 0.750 0.845
Ge 0.330 0.750 0.429
Ge 0.670 0.250 0.571
Se 0.082 0.567 0.219
Se 0.082 0.933 0.219
Se 0.294 0.250 0.622
Se 0.374 0.750 0.793
Se 0.626 0.250 0.207
Se 0.706 0.750 0.378
Se 0.918 0.067 0.781
Se 0.918 0.433 0.781